1.
Here is a geometry-optimized K2MgNi3F12 structure from the Alexandria database. Energies are from PBE+U.

a = 7.1745 Å, b = 7.1745 Å, c = 7.1745 Å
α = 60.70°, β = 60.70°, γ = 60.70°
Atoms (fractional coordinates):
K (0.1264, 0.1264, 0.1264)
K (0.8736, 0.8736, 0.8736)
Mg (0.5000, 0.5000, 0.5000)
Ni (0.0000, 0.5000, 0.5000)
Ni (0.5000, 0.0000, 0.5000)
Ni (0.5000, 0.5000, 0.0000)
F (0.1701, 0.5750, 0.5750)
F (0.1795, 0.1795, 0.5761)
F (0.1795, 0.5761, 0.1795)
F (0.4239, 0.8205, 0.8205)
F (0.4250, 0.4250, 0.8299)
F (0.4250, 0.8299, 0.4250)
F (0.5750, 0.1701, 0.5750)
F (0.5750, 0.5750, 0.1701)
F (0.5761, 0.1795, 0.1795)
F (0.8205, 0.4239, 0.8205)
F (0.8205, 0.8205, 0.4239)
F (0.8299, 0.4250, 0.4250)

Results
The value obtained for the calculated total energy is -4.2231 eV per atom. The value obtained for the density of states at the Fermi level is 7.1 states/eV/f.u. Its crystal system is trigonal.

2.
Here is a geometry-optimized KMgNiF6 structure from the Alexandria database. Energies are from PBE+U.

a = 7.1305 Å, b = 7.1305 Å, c = 7.1305 Å
α = 120.52°, β = 116.84°, γ = 92.33°
Atoms (fractional coordinates):
K (0.3717, 0.1217, 0.2500)
K (0.6283, 0.8783, 0.7500)
Mg (0.0000, 0.0000, 0.5000)
Mg (0.0000, 0.5000, 0.0000)
Ni (0.0000, 0.5000, 0.5000)
Ni (0.5000, 0.5000, 0.0000)
F (0.0741, 0.4355, 0.2643)
F (0.0741, 0.8098, 0.6386)
F (0.0841, 0.8341, 0.2500)
F (0.3264, 0.5764, 0.7500)
F (0.3288, 0.1902, 0.7643)
F (0.3288, 0.5645, 0.1386)
F (0.6712, 0.4355, 0.8614)
F (0.6712, 0.8098, 0.2357)
F (0.6736, 0.4236, 0.2500)
F (0.9159, 0.1659, 0.7500)
F (0.9259, 0.1902, 0.3614)
F (0.9259, 0.5645, 0.7357)

Results
The value obtained for the calculated total energy is -4.4202 eV per atom. Its crystal system is orthorhombic.

3.
Here is a geometry-optimized K3Mg2NiF9 structure from the Alexandria database. Energies are from PBE+U.

a = 5.7270 Å, b = 5.7270 Å, c = 7.0219 Å
α = 90.00°, β = 90.00°, γ = 120.00°
Atoms (fractional coordinates):
K (0.0000, 0.0000, 0.0000)
K (0.3333, 0.6667, 0.6636)
K (0.6667, 0.3333, 0.3364)
Mg (0.3333, 0.6667, 0.1637)
Mg (0.6667, 0.3333, 0.8363)
Ni (0.0000, 0.0000, 0.5000)
F (0.0000, 0.5000, 0.0000)
F (0.1676, 0.3352, 0.3322)
F (0.1676, 0.8324, 0.3322)
F (0.3352, 0.1676, 0.6678)
F (0.5000, 0.0000, 0.0000)
F (0.5000, 0.5000, 0.0000)
F (0.6648, 0.8324, 0.3322)
F (0.8324, 0.1676, 0.6678)
F (0.8324, 0.6648, 0.6678)

Results
The value obtained for the calculated total energy is -4.7519 eV per atom. The value obtained for the density of states at the Fermi level is 0.0 states/eV/f.u. Its crystal system is trigonal.